{
  "formula": "BaCaIr",
  "functional": "meta-GGA SCAN",
  "state": "single point on PBEsol structure",
  "magnetic_moment_mub_per_fu": 0.0,
  "e_tot_ev_per_atom": -40.16,
  "space_group": "No. 156",
  "crystal_system": "trigonal",
  "volume_a3_per_atom": 35.22,
  "delta_e_f_mev_per_atom": -56,
  "cell": [[4.318, 0.000, 0.000], [-2.159, 3.739, 0.000], [0.000, 0.000, 6.545]],
  "species": ["Ca", "Ir", "Ba"],
  "fractional_positions": [[0.333, 0.667, 0.548], [0.667, 0.333, 0.353], [0.000, 0.000, 0.098]]
}